A relaxed structure of Pm6AlZn5. Source: Alexandria, functional GGA-PBE.

Values from the calculation:
total energy = -3.541 eV/atom

Unit cell a=5.177 b=7.355 c=15.523 alpha=90.00 beta=90.00 gamma=90.00
Space group Immm (No. 71)
Asymmetric unit:
Pm 0.000 0.248 0.000 x4
Pm 0.000 0.251 0.333 x8
Al 0.000 0.000 0.500 x2
Zn 0.000 0.000 0.167 x4
Zn 0.000 0.500 0.164 x4
Zn 0.000 0.500 0.500 x2



A relaxed structure of HoSnGePd. Source: Alexandria, functional GGA-PBE.

Values from the calculation:
total energy = -5.089 eV/atom

Unit cell a=6.936 b=6.936 c=6.936 alpha=90.00 beta=90.00 gamma=90.00
Space group F-43m (No. 216)
Asymmetric unit:
Ho 0.000 0.000 0.000 x4
Sn 0.000 0.000 0.500 x4
Ge 0.250 0.250 0.750 x4
Pd 0.250 0.250 0.250 x4



A relaxed structure of NaEr2BiO6. Source: Alexandria, functional GGA-PBE.

Values from the calculation:
total energy = -6.770 eV/atom

Unit cell a=5.7514 b=5.7514 c=15.3968 alpha=90.00 beta=90.00 gamma=120.00
Space group R3 (No. 146, hexagonal axes)
Asymmetric unit:
Na 0.0000 0.0000 0.0000 x3
Er 0.0000 0.0000 0.2744 x3
Er 0.0000 0.0000 0.7787 x3
Bi 0.0000 0.0000 0.4788 x3
O 0.0215 0.3415 0.5425 x9
O 0.0308 0.7371 0.3832 x9



A relaxed structure of Ce3DyBi4. Source: Alexandria, functional GGA-PBE.

Values from the calculation:
total energy = -5.542 eV/atom
ΔE to the lowest computed polymorph = 2 meV/atom

Unit cell a=6.467 b=6.467 c=6.467 alpha=90.00 beta=90.00 gamma=90.00
Space group Pm-3m (No. 221)
Asymmetric unit:
Ce 0.000 0.000 0.500 x3
Dy 0.500 0.500 0.500 x1
Bi 0.000 0.000 0.000 x1
Bi 0.000 0.500 0.500 x3



- Which of these has the highest total energy?
  Pm6AlZn5